No. 1
{"formula": "Y2Al2GaIr5", "functional": "PBE-GGA", "state": "relaxed", "ef_ev_per_atom": -0.722, "space_group": "P4/mbm", "lattice_angstrom": [[9.859, 0.000, 0.000], [0.000, 9.859, 0.000], [0.000, 0.000, 3.471]], "species": ["Y", "Y", "Y", "Y", "Al", "Al", "Al", "Al", "Ga", "Ga", "Ir", "Ir", "Ir", "Ir", "Ir", "Ir", "Ir", "Ir", "Ir", "Ir"], "frac_coords": [[0.175, 0.325, 0.000], [0.325, 0.825, 0.000], [0.675, 0.175, 0.000], [0.825, 0.675, 0.000], [0.125, 0.625, 0.000], [0.375, 0.125, 0.000], [0.625, 0.875, 0.000], [0.875, 0.375, 0.000], [0.000, 0.000, 0.000], [0.500, 0.500, 0.000], [0.000, 0.500, 0.500], [0.064, 0.796, 0.500], [0.204, 0.064, 0.500], [0.296, 0.564, 0.500], [0.436, 0.296, 0.500], [0.500, 0.000, 0.500], [0.564, 0.704, 0.500], [0.704, 0.436, 0.500], [0.796, 0.936, 0.500], [0.936, 0.204, 0.500]]}

No. 2
{"formula": "Ac3ErS4", "functional": "PBE-GGA", "state": "relaxed", "raw_formation_energy_ev_per_atom": -1.96, "space_group": "P2/c", "lattice_angstrom": [[7.379, 0.000, 0.000], [0.000, 8.334, 0.000], [-2.381, 0.000, 6.831]], "species": ["Ac", "Ac", "Ac", "Ac", "Ac", "Ac", "Er", "Er", "S", "S", "S", "S", "S", "S", "S", "S"], "frac_coords": [[0.000, 0.124, 0.250], [0.000, 0.375, 0.750], [0.000, 0.625, 0.250], [0.000, 0.876, 0.750], [0.500, 0.127, 0.750], [0.500, 0.873, 0.250], [0.500, 0.376, 0.250], [0.500, 0.624, 0.750], [0.266, 0.139, 0.015], [0.266, 0.861, 0.515], [0.274, 0.388, 0.500], [0.274, 0.612, 0.000], [0.726, 0.388, 0.000], [0.726, 0.612, 0.500], [0.734, 0.139, 0.485], [0.734, 0.861, 0.985]]}

Number 1: total magnetic moment 0.000 μB per cell, raw total energy -7.496 eV per atom, ρ 12.43 Mg/m³. Number 2: total magnetic moment 0.000 μB per cell, raw total energy -6.134 eV per atom, ρ 7.72 Mg/m³.